--- a ---
The following is a PBE calculation of a geometry-optimized K2BaBr structure, from Alexandria via LeMat-Bulk.

## Properties
space-group type	F-43m (216)

Cell: 6.7205 6.7205 6.7205 Å, 60.00 60.00 60.00°
Fractional positions:
K (0.0000, 0.0000, 0.0000)
Ba (0.5000, 0.5000, 0.5000)
K (0.2500, 0.2500, 0.2500)
Br (0.7500, 0.7500, 0.7500)



--- b ---
The following is a PBE calculation of a geometry-optimized K2BaBr structure, from Alexandria via LeMat-Bulk.

## Properties
space-group type	Imm2 (44)

Cell: 8.2086 8.2086 8.2086 Å, 148.72 123.85 65.69°
Fractional positions:
Br (0.2564, 0.7564, 0.5000)
Ba (0.4318, 0.4318, 0.0000)
K (0.0647, 0.0647, 0.0000)
K (0.7471, 0.2471, 0.5000)



--- c ---
The following is a PBE calculation of a geometry-optimized K2BaBr structure, from Alexandria via LeMat-Bulk.

## Properties
space-group type	P4mm (99)

Cell: 4.3170 4.3170 12.4994 Å, 90.00 90.00 90.00°
Fractional positions:
K (0.0000, 0.0000, 0.9767)
Br (0.5000, 0.5000, 0.6826)
Ba (0.0000, 0.0000, 0.5696)
K (0.5000, 0.5000, 0.2711)



--- d ---
The following is a PBE calculation of a geometry-optimized K2BaBr structure, from Alexandria via LeMat-Bulk.

## Properties
space-group type	I-4m2 (119)

Cell: 7.8330 7.8330 7.8330 Å, 137.91 137.91 61.04°
Last column: magnetic moment on the atom in μB.
Fractional positions:
Ba (0.5000, 0.5000, 0.0000)  0.13
K (0.0000, 0.0000, 0.0000)  0.02
Br (0.7500, 0.2500, 0.5000)  0.01
K (0.2500, 0.7500, 0.5000)  0.02



Energy ordering: c at the bottom, the next structure 2.4 kJ/mol of atoms above.



--- a ---
The following is a PBE calculation of a geometry-optimized K2BaBr structure, from Alexandria via LeMat-Bulk.

## Properties
space-group type	Cmmm (65)

Cell: 4.6198 8.0061 8.0104 Å, 49.68 90.00 90.00°
Fractional positions:
K (0.0000, 0.9237, 0.9246)
K (0.0000, 0.5763, 0.5754)
Ba (0.5000, 0.2500, 0.2500)
Br (0.5000, 0.7500, 0.7500)



--- b ---
The following is a PBE calculation of a geometry-optimized K2BaBr structure, from Alexandria via LeMat-Bulk.

## Properties
space-group type	C2/m (12)

Cell: 8.1922 8.1922 4.5381 Å, 81.80 81.80 129.61°
Fractional positions:
K (0.0000, 0.0000, 0.0000)
K (0.5000, 0.5000, 0.0000)
Ba (0.5000, 0.0000, 0.5000)
Br (0.0000, 0.5000, 0.5000)



Energy ordering: a at the bottom, the next structure 19.0 kJ/mol of atoms above.



--- a ---
The following is a PBE calculation of a geometry-optimized K2BaBr structure, from Alexandria via LeMat-Bulk.

## Properties
space-group type	Cmmm (65)

Cell: 7.8386 7.8386 4.6054 Å, 90.00 90.00 127.39°
Fractional positions:
Ba (0.5000, 0.0000, 0.5000)
K (0.5000, 0.5000, 0.0000)
K (0.0000, 0.0000, 0.0000)
Br (0.0000, 0.5000, 0.5000)



--- b ---
The following is a PBE calculation of a geometry-optimized K2BaBr structure, from Alexandria via LeMat-Bulk.

## Properties
space-group type	I4/mmm (139)

Cell: 8.7725 8.7725 8.7725 Å, 145.44 145.44 49.68°
Fractional positions:
Br (0.7500, 0.2500, 0.5000)
Ba (0.2500, 0.7500, 0.5000)
K (0.5000, 0.5000, 0.0000)
K (0.0000, 0.0000, 0.0000)



--- c ---
The following is a PBE calculation of a geometry-optimized K2BaBr structure, from Alexandria via LeMat-Bulk.

## Properties
space-group type	Fm-3m (225)

Cell: 6.8644 6.8644 6.8644 Å, 60.00 60.00 60.00°
Fractional positions:
Ba (0.5000, 0.5000, 0.5000)
K (0.2500, 0.2500, 0.2500)
Br (0.0000, 0.0000, 0.0000)
K (0.7500, 0.7500, 0.7500)



--- d ---
The following is a PBE calculation of a geometry-optimized K2BaBr structure, from Alexandria via LeMat-Bulk.

## Properties
space-group type	R3m (160)

Cell: 12.4875 12.4875 12.4875 Å, 21.03 21.03 21.03°
Last column: magnetic moment on the atom in μB.
Fractional positions:
Ba (0.4786, 0.4786, 0.4786)  0.05
K (0.2498, 0.2498, 0.2498)  -0.01
Br (0.7486, 0.7486, 0.7486)  0.00
K (0.0231, 0.0231, 0.0231)  0.00



Energy ordering: d at the bottom, the next structure 22.3 kJ/mol of atoms above.